# LiLaCl2, relaxed, DFT GGA-PBE
# Total moment ... 0.00 Bohr magnetons per cell
# Calculated density ... 3.70 g cm⁻³
# Uncorrected formation energy ... -0.849 eV/atom
data_LiLaCl2
_chemical_formula_sum 'Li4 La4 Cl8'
_symmetry_space_group_name_H-M 'F -4 3 m'
_symmetry_Int_Tables_number 216
_symmetry_space_group_name_Hall 'F -4 2 3'
_cell_length_a 7.298
_cell_length_b 7.298
_cell_length_c 7.298
_cell_angle_alpha 90.00
_cell_angle_beta 90.00
_cell_angle_gamma 90.00
loop_
_atom_site_label
_atom_site_type_symbol
_atom_site_fract_x
_atom_site_fract_y
_atom_site_fract_z
Li1 Li 0.000 0.000 0.000
La1 La 0.250 0.250 0.250
Cl1 Cl 0.000 0.000 0.500
Cl2 Cl 0.250 0.250 0.750